This record from Alexandria via LeMat-Bulk describes Be2MoPt after structural relaxation. The functional is PBE.

```
Be2MoPt
1.0
3.839 0.000 0.000
0.000 2.771 -0.002
0.000 1.384 4.419
Be Mo Pt
2 1 1
Cartesian
0.000 1.902 4.295
1.919 0.521 1.194
0.000 1.904 1.882
1.919 3.291 3.672
```

Calculated formation energy = -287 meV/atom
DOS at the Fermi energy = 1.98 states/eV per cell
E above lowest polymorph = 5.8 kJ per mole of atoms
Total magnetic moment = 0.00 μB per cell
Energy = -25.47 eV per cell